The following is a PBE calculation of Ho3NiI3 after structural relaxation, from Alexandria. Values from VASP.

Cell and atoms, written as Quantum ESPRESSO input:
```
&SYSTEM
  ibrav = 0, nat = 14, ntyp = 3
/
ATOMIC_SPECIES
Ho 164.93 Ho.upf
I 126.90 I.upf
Ni 58.69 Ni.upf
ATOMIC_POSITIONS angstrom
Ho -1.670 2.571 10.355
Ho -1.402 -0.528 8.215
I -6.479 4.378 7.763
Ho 2.286 -0.182 7.924
I -1.823 1.235 5.254
Ho -4.298 -0.286 3.607
Ho -8.254 2.467 6.038
I -1.690 -1.993 2.393
I -4.278 4.278 11.569
Ni -6.400 1.137 4.755
Ni 0.433 1.148 9.208
I 0.511 -2.093 6.199
Ho -4.566 2.813 5.748
I -4.145 1.050 8.709
CELL_PARAMETERS angstrom
-1.835 -3.494 0.970
4.821 -0.433 7.559
-8.953 6.212 5.433
```

Formation energy (no corrections): -21.49 kcal/mol of atoms
Crystal system: monoclinic


The following is a PBE calculation of BeAlH after structural relaxation, from Alexandria. Values from VASP.

Cell and atoms, written as Quantum ESPRESSO input:
```
&SYSTEM
  ibrav = 0, nat = 12, ntyp = 3
/
ATOMIC_SPECIES
Al 26.98 Al.upf
H 1.01 H.upf
Be 9.01 Be.upf
ATOMIC_POSITIONS angstrom
Al 1.368 1.310 6.402
Al 1.743 0.000 2.063
H 0.618 1.310 8.034
H 2.763 1.310 4.807
Be 0.022 0.000 4.778
Be 4.379 0.000 1.252
Al 3.956 1.310 3.255
Al 3.582 0.000 7.594
H 0.992 0.000 3.695
Be 0.396 1.310 0.440
H 3.137 0.000 0.469
Be 4.005 1.310 5.591
CELL_PARAMETERS angstrom
5.566 0.000 0.019
0.000 2.620 0.000
-0.748 0.000 8.678
```

E above lowest polymorph: 61 meV per atom
Crystal system: monoclinic


The following is a PBE calculation of Y8AlNi2 after structural relaxation, from Alexandria. Values from VASP.

Cell and atoms, written as Quantum ESPRESSO input:
```
&SYSTEM
  ibrav = 0, nat = 11, ntyp = 3
/
ATOMIC_SPECIES
Y 88.91 Y.upf
Al 26.98 Al.upf
Ni 58.69 Ni.upf
ATOMIC_POSITIONS angstrom
Y 3.256 4.424 2.350
Al -0.004 0.023 0.016
Ni 2.198 2.175 4.164
Y 2.445 2.420 -0.883
Y 2.934 0.573 1.917
Y 3.945 5.494 -1.179
Y 1.210 4.738 4.967
Y 4.925 1.791 4.435
Y 0.721 6.586 2.166
Ni 1.456 4.977 -0.084
Y 0.400 2.736 1.735
CELL_PARAMETERS angstrom
5.216 0.124 -0.829
-1.737 7.128 -3.066
0.186 -0.137 7.948
```

Crystal system: monoclinic
Formation enthalpy at 0 K: -0.130 eV/atom


The following is a PBE calculation of Pr2NdSmMg after structural relaxation, from Alexandria. Values from VASP.

Cell and atoms, written as Quantum ESPRESSO input:
```
&SYSTEM
  ibrav = 0, nat = 10, ntyp = 4
/
ATOMIC_SPECIES
Nd 144.24 Nd.upf
Mg 24.30 Mg.upf
Sm 150.36 Sm.upf
Pr 140.91 Pr.upf
ATOMIC_POSITIONS angstrom
Nd -3.265 4.240 0.236
Mg 0.000 0.000 0.000
Sm -2.748 3.357 4.155
Nd -4.637 1.171 -1.070
Sm -7.231 0.076 1.842
Pr -6.975 2.670 4.416
Mg -0.435 2.946 0.721
Pr -3.905 -0.096 4.547
Pr -6.074 3.529 1.450
Pr -3.004 0.763 1.582
CELL_PARAMETERS angstrom
-7.034 -0.480 -2.277
-2.076 -1.978 6.831
-0.869 5.891 1.442
```

Crystal system: orthorhombic
Formation enthalpy at 0 K: 0.145 eV/atom